[1]
DFT (PBE-GGA) results for an optimized crystal structure of TePdI2.

The structure in POSCAR format:
```
TePdI2
1.0
-2.670 -1.536 -2.442
-2.963 -5.103 6.450
-6.862 4.715 4.536
I Pd Te
4 2 2
Direct
0.798 0.088 0.286
0.798 0.311 0.903
0.298 0.912 0.714
0.298 0.689 0.097
0.798 0.804 0.908
0.298 0.196 0.092
0.797 0.611 0.426
0.297 0.389 0.574
```

Results
The calculation puts the electronic total energy at -2.94 eV/atom. The value obtained for the magnetization is 0.00 μB per formula unit. Its formation energy from raw total energies is -0.33 eV/f.u. As for the energy above the most stable polymorph in this dataset: 0.61 eV per formula unit. As for the crystal system: monoclinic.

---

[2]
DFT (PBE-GGA) results for an optimized crystal structure of ErAg2BO4.

The structure in POSCAR format:
```
ErAg2BO4
1.0
-1.915 -4.169 -3.011
2.643 -2.152 -3.701
0.673 -4.826 1.253
Er O Ag B
1 4 2 1
Direct
0.000 0.000 0.000
0.193 0.290 0.000
0.483 0.710 0.000
0.517 0.000 0.290
0.807 0.000 0.710
0.000 0.500 0.500
0.500 0.500 0.500
0.500 0.000 0.000
```

Results
The calculation puts the electronic total energy at -6.24 eV/atom. The value obtained for the magnetization is 0.00 μB per formula unit. Its formation energy from raw total energies is -13.13 eV/f.u. As for the crystal system: tetragonal.

---

[3]
DFT (PBE-GGA) results for an optimized crystal structure of Ho5Pt3.

The structure in POSCAR format:
```
Ho5Pt3
1.0
6.148 0.000 0.000
0.000 8.419 0.000
0.000 -4.210 7.291
Ho Pt
10 6
Direct
0.250 0.754 0.000
0.000 0.667 0.333
0.750 0.000 0.246
0.750 0.246 0.000
0.250 0.000 0.754
0.000 0.333 0.667
0.500 0.333 0.667
0.250 0.246 0.246
0.750 0.754 0.754
0.500 0.667 0.333
0.250 0.605 0.605
0.250 0.000 0.395
0.750 0.000 0.605
0.750 0.395 0.395
0.750 0.605 0.000
0.250 0.395 0.000
```

Results
The calculation puts the electronic total energy at -6.16 eV/atom. The value obtained for the magnetization is 0.00 μB per formula unit. As for the formation energy from the elements: -8.27 eV/f.u. As for the energy above the most stable polymorph in this dataset: 0.20 eV per formula unit. As for the crystal system: hexagonal.

---

[4]
DFT (PBE-GGA) results for an optimized crystal structure of Na2TlIn.

The structure in POSCAR format:
```
Na2TlIn
1.0
3.649 0.000 0.000
0.000 5.495 0.000
0.000 0.000 5.495
Na Tl In
2 1 1
Direct
0.000 0.500 0.000
0.000 0.000 0.500
0.500 0.000 0.000
0.500 0.500 0.500
```

Results
The calculation puts the electronic total energy at -2.02 eV/atom. The value obtained for the magnetization is 0.00 μB per formula unit. As for the formation energy from the elements: -0.32 eV/f.u. As for the energy above the most stable polymorph in this dataset: 0.17 eV per formula unit. As for the crystal system: tetragonal.

---

[5]
DFT (PBE-GGA) results for an optimized crystal structure of Y5Sb2N.

The structure in POSCAR format:
```
Y5Sb2N
1.0
-4.902 0.494 -2.155
4.500 -4.796 -4.627
-3.867 -9.920 6.523
Y Sb N
10 4 2
Direct
0.285 0.570 0.091
0.929 0.858 0.874
0.715 0.430 0.591
0.071 0.142 0.126
0.301 0.601 0.750
0.699 0.399 0.250
0.071 0.142 0.374
0.929 0.858 0.626
0.715 0.430 0.909
0.285 0.570 0.409
0.865 0.731 0.100
0.135 0.269 0.900
0.135 0.269 0.600
0.865 0.731 0.400
0.186 0.372 0.250
0.814 0.628 0.750
```

Results
The calculation puts the electronic total energy at -6.67 eV/atom. The value obtained for the magnetization is 0.00 μB per formula unit. Its formation energy from raw total energies is -4.49 eV/f.u. As for the crystal system: orthorhombic.

---

[6]
DFT (PBE-GGA) results for an optimized crystal structure of Er2B2AsRh5.

The structure in POSCAR format:
```
Er2B2AsRh5
1.0
3.258 0.000 0.000
0.000 9.389 0.000
0.000 0.000 9.389
Rh Er As B
10 4 2 4
Direct
0.500 0.000 0.500
0.500 0.929 0.219
0.500 0.500 0.000
0.500 0.071 0.781
0.500 0.429 0.281
0.500 0.719 0.429
0.500 0.571 0.719
0.500 0.281 0.571
0.500 0.219 0.071
0.500 0.781 0.929
0.000 0.825 0.675
0.000 0.675 0.175
0.000 0.325 0.825
0.000 0.175 0.325
0.000 0.500 0.500
0.000 0.000 0.000
0.000 0.121 0.621
0.000 0.379 0.121
0.000 0.621 0.879
0.000 0.879 0.379
```

Results
The calculation puts the electronic total energy at -7.20 eV/atom. The value obtained for the magnetization is 0.00 μB per formula unit. As for the formation energy from the elements: -8.11 eV/f.u. As for the crystal system: tetragonal.

---

Which value of magnetization does entry 4 give?
0.00 μB per formula unit